Li2VGaO4 | GGA+U | relaxed

The structure in POSCAR format:
```
Li2VGaO4
1.0
5.162 -0.005 -0.001
0.019 5.992 0.011
2.504 1.442 7.289
O V Li Ga
12 3 6 3
Direct
0.775 0.379 0.997 O
0.227 0.300 0.336 O
0.226 0.791 0.340 O
0.773 0.700 0.664 O
0.225 0.621 0.003 O
0.774 0.544 0.329 O
0.226 0.456 0.671 O
0.772 0.875 0.993 O
0.227 0.949 0.673 O
0.773 0.051 0.327 O
0.228 0.125 0.007 O
0.774 0.209 0.660 O
0.999 0.836 0.166 V
0.001 0.164 0.834 V
0.000 0.000 0.500 V
0.503 0.256 0.496 Li
0.497 0.744 0.504 Li
0.499 0.579 0.167 Li
0.501 0.421 0.833 Li
0.500 0.908 0.832 Li
0.500 0.092 0.168 Li
0.999 0.662 0.833 Ga
0.001 0.338 0.167 Ga
0.000 0.500 0.500 Ga
```

energy above the lowest structure with this stoichiometry: 0.000 eV per atom
crystal system: triclinic
ρ: 4.39 g/cm³